1.
Below is a geometry-optimized AcBePt structure, with properties calculated at the PBE level.

The structure in POSCAR format:
```
AcBePt
1.0
4.4034 0.0000 0.0000
0.0000 4.1677 0.0000
0.0000 -2.0838 3.6093
Be Pt Ac
1 1 1
Cartesian
0.7343 2.0838 1.2031 Be
0.7336 0.0000 0.0000 Pt
2.9355 0.0000 2.4062 Ac
```

Computed properties:
Calculated density   10.8 g/cm3
DOS(E_F)   2.4 states/eV per cell
Uncorrected energy   -5.340 eV/atom
Relative energy among the computed polymorphs   0 meV per atom
Space group   No. 187
E_form   -0.71 eV/atom
Crystal system   hexagonal
Total moment   0.00 μB/f.u.

***

2.
Below is a geometry-optimized ZnMo3Pt structure, with properties calculated at the PBE level.

The structure in POSCAR format:
```
ZnMo3Pt
1.0
-0.3637 -1.9231 4.0424
2.6469 -3.3631 -1.3618
3.6101 2.2721 1.4057
Mo Pt Zn
3 1 1
Cartesian
1.3235 -1.6815 -0.6809 Mo
1.8050 1.1361 0.7029 Mo
-0.1818 -0.9615 2.0212 Mo
2.9467 -1.5070 2.0431 Pt
0.0000 0.0000 0.0000 Zn
```

Computed properties:
Calculated density   10.1 g/cm3
DOS(E_F)   5.9 states/eV per cell
Uncorrected energy   -6.427 eV/atom
Relative energy among the computed polymorphs   0 meV per atom
Space group   No. 221
E_form   1.53 eV/atom
Crystal system   cubic
Total moment   0.00 μB/f.u.

***

3.
Below is a geometry-optimized AcYHoTm structure, with properties calculated at the PBE level.

The structure in POSCAR format:
```
AcYHoTm
1.0
-2.4062 2.5752 -1.0463
1.3293 -2.3836 -2.4640
-7.7064 -8.2610 3.8341
Tm Ho Ac Y
1 1 1 1
Cartesian
-6.6590 -7.6759 1.6498 Tm
-5.8269 -4.3030 1.5799 Ho
-4.6837 -1.4748 -0.5414 Ac
0.1717 -2.8223 -2.1051 Y
```

Computed properties:
Calculated density   7.8 g/cm3
DOS(E_F)   5.5 states/eV per cell
Uncorrected energy   -4.835 eV/atom
Relative energy among the computed polymorphs   0 meV per atom
Space group   No. 160
E_form   0.07 eV/atom
Crystal system   trigonal
Total moment   0.00 μB/f.u.